(A)
Here is a relaxed structure of ThScBi2 from Alexandria via LeMat-Bulk. Energies are from PBE.

Cell: 8.028 8.028 8.028 Å, 31.68 31.68 31.68°
Element x y z (fractional)
Th  0.000  0.000  0.000
Sc  0.828  0.828  0.828
Bi  0.421  0.421  0.421
Bi  0.576  0.576  0.576

Computed properties:
SG = R3m
D(E_F) = 3.62 states/eV/cell

---

(B)
Here is a relaxed structure of ThScBi2 from Alexandria via LeMat-Bulk. Energies are from PBE.

Cell: 5.619 5.619 3.629 Å, 90.00 90.00 90.00°
Element x y z (fractional)
Th  0.000  0.000  0.000
Sc  0.500  0.500  0.000
Bi  0.000  0.500  0.500
Bi  0.500  0.000  0.500

Computed properties:
SG = P4/mmm
D(E_F) = 3.61 states/eV/cell

---

Most favorable structure: (A). The second most favorable one is 5.5 kJ/mol of atoms above it.

---

(A)
Here is a relaxed structure of Th2ScBi2 from Alexandria via LeMat-Bulk. Energies are from PBE.

Cell: 9.147 9.147 6.494 Å, 90.00 90.00 146.72°
Element x y z (fractional)
Th  0.000  0.000  0.000
Th  0.000  0.000  0.500
Th  0.196  0.804  0.750
Th  0.804  0.196  0.250
Sc  0.403  0.597  0.750
Sc  0.597  0.403  0.250
Bi  0.179  0.821  0.250
Bi  0.419  0.581  0.250
Bi  0.581  0.419  0.750
Bi  0.821  0.179  0.750

Computed properties:
SG = Cmcm
D(E_F) = 6.02 states/eV/cell

---

(B)
Here is a relaxed structure of Th2ScBi2 from Alexandria via LeMat-Bulk. Energies are from PBE.

Cell: 8.631 8.631 5.143 Å, 90.00 90.00 126.10°
Element x y z (fractional)
Th  0.086  0.914  0.750
Th  0.292  0.708  0.250
Th  0.708  0.292  0.750
Th  0.914  0.086  0.250
Sc  0.500  0.500  0.000
Sc  0.500  0.500  0.500
Bi  0.128  0.379  0.750
Bi  0.379  0.128  0.250
Bi  0.621  0.872  0.750
Bi  0.872  0.621  0.250

Computed properties:
SG = Cmcm
D(E_F) = 10.55 states/eV/cell

---

Most favorable structure: (A). The second most favorable one is 25.6 kJ/mol of atoms above it.

---

(A)
Here is a relaxed structure of ScTi2Bi2 from Alexandria via LeMat-Bulk. Energies are from PBE.

Cell: 7.818 7.818 3.677 Å, 90.00 90.00 90.00°
Element x y z (fractional)
Sc  0.000  0.000  0.000
Sc  0.500  0.500  0.000
Ti  0.140  0.360  0.500
Ti  0.360  0.860  0.500
Ti  0.640  0.140  0.500
Ti  0.860  0.640  0.500
Bi  0.153  0.653  0.000
Bi  0.347  0.153  0.000
Bi  0.653  0.847  0.000
Bi  0.847  0.347  0.000

Computed properties:
SG = P4/mbm
D(E_F) = 6.83 states/eV/cell

---

(B)
Here is a relaxed structure of ScTi2Bi2 from Alexandria via LeMat-Bulk. Energies are from PBE.

Cell: 7.924 7.924 3.636 Å, 90.00 90.00 90.00°
Element x y z (fractional)
Sc  0.000  0.000  0.000
Sc  0.500  0.500  0.000
Ti  0.121  0.379  0.000
Ti  0.379  0.879  0.000
Ti  0.621  0.121  0.000
Ti  0.879  0.621  0.000
Bi  0.173  0.673  0.500
Bi  0.327  0.173  0.500
Bi  0.673  0.827  0.500
Bi  0.827  0.327  0.500

Computed properties:
SG = P4/mbm
D(E_F) = 10.61 states/eV/cell

---

Most favorable structure: (A). The second most favorable one is 14.2 kJ/mol of atoms above it.

---

(A)
Here is a relaxed structure of ScTiBi2 from Alexandria via LeMat-Bulk. Energies are from PBE.

Cell: 5.150 5.150 5.150 Å, 60.00 60.00 60.00°
Element x y z (fractional)
Sc  0.000  0.000  0.000
Ti  0.500  0.500  0.500
Bi  0.250  0.250  0.250
Bi  0.750  0.750  0.750

Computed properties:
SG = Fm-3m
D(E_F) = 3.77 states/eV/cell

---

(B)
Here is a relaxed structure of ScTiBi2 from Alexandria via LeMat-Bulk. Energies are from PBE.

Cell: 8.024 8.024 8.024 Å, 131.15 131.15 71.58°
Element x y z (fractional)
Sc  0.000  0.000  0.000
Sc  0.750  0.250  0.500
Ti  0.250  0.750  0.500
Ti  0.500  0.500  0.000
Bi  0.143  0.625  0.018
Bi  0.375  0.393  0.518
Bi  0.607  0.125  0.982
Bi  0.875  0.857  0.482

Computed properties:
SG = I-42d
D(E_F) = 9.13 states/eV/cell

---

(C)
Here is a relaxed structure of ScTiBi2 from Alexandria via LeMat-Bulk. Energies are from PBE.

Cell: 7.285 7.285 7.285 Å, 33.11 33.11 33.11°
Element x y z (fractional)
Sc  0.000  0.000  0.000
Ti  0.500  0.500  0.500
Bi  0.246  0.246  0.246
Bi  0.754  0.754  0.754

Computed properties:
SG = R-3m
D(E_F) = 2.48 states/eV/cell

---

Most favorable structure: (C). The second most favorable one is 11.4 kJ/mol of atoms above it.

---

(A)
Here is a relaxed structure of Sc2TlBi from Alexandria via LeMat-Bulk. Energies are from PBE.

Cell: 10.799 10.799 10.799 Å, 18.50 18.50 18.50°
Element x y z (fractional)
Sc  0.093  0.093  0.093
Sc  0.907  0.907  0.907
Tl  0.500  0.500  0.500
Bi  0.000  0.000  0.000

Computed properties:
SG = R-3m
D(E_F) = 4.82 states/eV/cell

---

(B)
Here is a relaxed structure of Sc2TlBi from Alexandria via LeMat-Bulk. Energies are from PBE.

Cell: 3.859 3.859 6.668 Å, 90.00 90.00 90.00°
Element x y z (fractional)
Sc  0.000  0.000  0.246
Sc  0.000  0.000  0.754
Tl  0.500  0.500  0.500
Bi  0.500  0.500  0.000

Computed properties:
SG = P4/mmm
D(E_F) = 2.97 states/eV/cell

---

(C)
Here is a relaxed structure of Sc2TlBi from Alexandria via LeMat-Bulk. Energies are from PBE.

Cell: 8.345 8.345 8.345 Å, 27.43 27.43 27.43°
Element x y z (fractional)
Sc  0.000  0.000  0.000
Sc  0.177  0.177  0.177
Tl  0.421  0.421  0.421
Bi  0.590  0.590  0.590

Computed properties:
SG = R3m
D(E_F) = 1.97 states/eV/cell

---

(D)
Here is a relaxed structure of Sc2TlBi from Alexandria via LeMat-Bulk. Energies are from PBE.

Cell: 6.565 6.565 6.565 Å, 105.24 105.24 118.31°
Element x y z (fractional)
Sc  0.125  0.625  0.000
Sc  0.375  0.375  0.500
Sc  0.625  0.125  0.000
Sc  0.875  0.875  0.500
Tl  0.000  0.000  0.000
Tl  0.750  0.250  0.500
Bi  0.250  0.750  0.500
Bi  0.500  0.500  0.000

Computed properties:
SG = I-42d
D(E_F) = 6.78 states/eV/cell

---

Most favorable structure: (B). The second most favorable one is 5.5 kJ/mol of atoms above it.

---

(A)
Here is a relaxed structure of Sc2TlBi from Alexandria via LeMat-Bulk. Energies are from PBE.

Cell: 10.036 10.036 10.036 Å, 22.15 22.15 22.15°
Element x y z (fractional)
Sc  0.102  0.102  0.102
Sc  0.898  0.898  0.898
Tl  0.000  0.000  0.000
Bi  0.500  0.500  0.500

Computed properties:
SG = R-3m
D(E_F) = 2.98 states/eV/cell

---

(B)
Here is a relaxed structure of Sc2TlBi from Alexandria via LeMat-Bulk. Energies are from PBE.

Cell: 4.853 4.853 4.182 Å, 90.00 90.00 90.00°
Element x y z (fractional)
Sc  0.000  0.500  0.000
Sc  0.500  0.000  0.000
Tl  0.000  0.000  0.500
Bi  0.500  0.500  0.500

Computed properties:
SG = P4/mmm
D(E_F) = 4.45 states/eV/cell

---

Most favorable structure: (B). The second most favorable one is 34.4 kJ/mol of atoms above it.

---

(A)
Here is a relaxed structure of ScTl3Bi from Alexandria via LeMat-Bulk. Energies are from PBE.

Cell: 5.903 5.903 5.903 Å, 90.00 90.00 90.00°
Element x y z (fractional)
Sc  0.000  0.000  0.000
Tl  0.000  0.500  0.500
Tl  0.500  0.000  0.500
Tl  0.500  0.500  0.000
Bi  0.500  0.500  0.500

Computed properties:
SG = Pm-3m
D(E_F) = 6.97 states/eV/cell

---

(B)
Here is a relaxed structure of ScTl3Bi from Alexandria via LeMat-Bulk. Energies are from PBE.

Cell: 5.639 5.639 5.639 Å, 90.00 90.00 90.00°
Element x y z (fractional)
Sc  0.000  0.000  0.000
Tl  0.000  0.000  0.500
Tl  0.000  0.500  0.000
Tl  0.500  0.000  0.000
Bi  0.500  0.500  0.500

Computed properties:
SG = Pm-3m
D(E_F) = 4.92 states/eV/cell

---

Most favorable structure: (B). The second most favorable one is 32.5 kJ/mol of atoms above it.

---

(A)
Here is a relaxed structure of Sc3TlBi from Alexandria via LeMat-Bulk. Energies are from PBE.

Cell: 5.346 5.346 5.346 Å, 90.00 90.00 90.00°
Element x y z (fractional)
Sc  0.000  0.000  0.500
Sc  0.000  0.500  0.000
Sc  0.500  0.000  0.000
Tl  0.000  0.000  0.000
Bi  0.500  0.500  0.500

Computed properties:
SG = Pm-3m
D(E_F) = 5.66 states/eV/cell

---

(B)
Here is a relaxed structure of Sc3TlBi from Alexandria via LeMat-Bulk. Energies are from PBE.

Cell: 3.871 9.014 9.014 Å, 61.54 90.00 90.00°
Element x y z (fractional)
Sc  0.000  0.000  0.000
Sc  0.000  0.282  0.282
Sc  0.500  0.344  0.723
Sc  0.500  0.557  0.936
Sc  0.500  0.723  0.344
Sc  0.500  0.936  0.557
Tl  0.000  0.640  0.640
Tl  0.500  0.141  0.141
Bi  0.000  0.139  0.641
Bi  0.000  0.641  0.139

Computed properties:
SG = Amm2
D(E_F) = 11.94 states/eV/cell

---

Most favorable structure: (B). The second most favorable one is 29.5 kJ/mol of atoms above it.